# BaZr2W GGA-PBE relaxed
# DFT formation energy = 219 kJ/mol of formula units
# Fermi-level density of states = 1.097 states/eV per atom
# distance to the lowest polymorph of the same formula = 0.227 eV/atom
# space group = P4mm, No. 99
data_BaZr2W
_cell_length_a 3.7275
_cell_length_b 3.7275
_cell_length_c 7.9225
_cell_angle_alpha 90.00
_cell_angle_beta 90.00
_cell_angle_gamma 90.00
_space_group_name_H-M_alt 'P 1'
_space_group_IT_number 1
loop_
_space_group_symop_operation_xyz
'x,y,z'
loop_
_atom_site_label
_atom_site_type_symbol
_atom_site_fract_x
_atom_site_fract_y
_atom_site_fract_z
_atom_site_occupancy
Ba1 Ba 0.0000 0.0000 0.0000 1
Zr1 Zr 0.0000 0.0000 0.4451 1
Zr2 Zr 0.5000 0.5000 0.6472 1
W1 W 0.5000 0.5000 0.3074 1

# BaNaPb GGA-PBE relaxed
# DFT formation energy = -98 kJ/mol of formula units
# Fermi-level density of states = 0.490 states/eV per atom
# distance to the lowest polymorph of the same formula = 0.031 eV/atom
# space group = C2/m, No. 12
data_BaNaPb
_cell_length_a 6.7763
_cell_length_b 6.7763
_cell_length_c 8.9553
_cell_angle_alpha 121.31
_cell_angle_beta 121.31
_cell_angle_gamma 46.55
_space_group_name_H-M_alt 'P 1'
_space_group_IT_number 1
loop_
_space_group_symop_operation_xyz
'x,y,z'
loop_
_atom_site_label
_atom_site_type_symbol
_atom_site_fract_x
_atom_site_fract_y
_atom_site_fract_z
_atom_site_occupancy
Ba1 Ba 0.0722 0.0722 0.3446 1
Ba2 Ba 0.9278 0.9278 0.6554 1
Na1 Na 0.3074 0.3074 0.9154 1
Na2 Na 0.6926 0.6926 0.0846 1
Pb1 Pb 0.3557 0.3557 0.3180 1
Pb2 Pb 0.6443 0.6443 0.6820 1

# HoU2TcC4 GGA-PBE relaxed
# DFT formation energy = -38 kJ/mol of formula units
# Fermi-level density of states = 0.747 states/eV per atom
# space group = Cmcm, No. 63
data_HoU2TcC4
_cell_length_a 6.0959
_cell_length_b 6.0959
_cell_length_c 11.3200
_cell_angle_alpha 90.00
_cell_angle_beta 90.00
_cell_angle_gamma 146.36
_space_group_name_H-M_alt 'P 1'
_space_group_IT_number 1
loop_
_space_group_symop_operation_xyz
'x,y,z'
loop_
_atom_site_label
_atom_site_type_symbol
_atom_site_fract_x
_atom_site_fract_y
_atom_site_fract_z
_atom_site_occupancy
Ho1 Ho 0.1183 0.8817 0.7500 1
Ho2 Ho 0.8817 0.1183 0.2500 1
U1 U 0.3704 0.6296 0.5482 1
U2 U 0.3704 0.6296 0.9518 1
U3 U 0.6296 0.3704 0.0482 1
U4 U 0.6296 0.3704 0.4518 1
Tc1 Tc 0.1435 0.8565 0.2500 1
Tc2 Tc 0.8565 0.1435 0.7500 1
C1 C 0.0000 0.0000 0.0000 1
C2 C 0.0000 0.0000 0.5000 1
C3 C 0.2646 0.7354 0.1196 1
C4 C 0.2646 0.7354 0.3804 1
C5 C 0.4558 0.5442 0.7500 1
C6 C 0.5442 0.4558 0.2500 1
C7 C 0.7354 0.2646 0.6196 1
C8 C 0.7354 0.2646 0.8804 1

# CdNiSb2Te GGA-PBE relaxed
# Fermi-level density of states = 0.944 states/eV per atom
# distance to the lowest polymorph of the same formula = 0.145 eV/atom
# space group = P4/mmm, No. 123
# E_form (uncorrected) = 279 meV/atom
data_CdNiSb2Te
_cell_length_a 4.9504
_cell_length_b 4.9504
_cell_length_c 5.3912
_cell_angle_alpha 90.00
_cell_angle_beta 90.00
_cell_angle_gamma 90.00
_space_group_name_H-M_alt 'P 1'
_space_group_IT_number 1
loop_
_space_group_symop_operation_xyz
'x,y,z'
loop_
_atom_site_label
_atom_site_type_symbol
_atom_site_fract_x
_atom_site_fract_y
_atom_site_fract_z
_atom_site_occupancy
Cd1 Cd 0.0000 0.0000 0.0000 1
Ni1 Ni 0.5000 0.5000 0.5000 1
Sb1 Sb 0.0000 0.5000 0.5000 1
Sb2 Sb 0.5000 0.0000 0.5000 1
Te1 Te 0.5000 0.5000 0.0000 1

# ScGa4Rh5 GGA-PBE relaxed
# DFT formation energy = -734 kJ/mol of formula units
# Fermi-level density of states = 0.418 states/eV per atom
# space group = P4/mmm, No. 123
data_ScGa4Rh5
_cell_length_a 3.0924
_cell_length_b 3.0924
_cell_length_c 15.2018
_cell_angle_alpha 90.00
_cell_angle_beta 90.00
_cell_angle_gamma 90.00
_space_group_name_H-M_alt 'P 1'
_space_group_IT_number 1
loop_
_space_group_symop_operation_xyz
'x,y,z'
loop_
_atom_site_label
_atom_site_type_symbol
_atom_site_fract_x
_atom_site_fract_y
_atom_site_fract_z
_atom_site_occupancy
Sc1 Sc 0.0000 0.0000 0.0000 1
Ga1 Ga 0.0000 0.0000 0.2046 1
Ga2 Ga 0.0000 0.0000 0.4015 1
Ga3 Ga 0.0000 0.0000 0.5985 1
Ga4 Ga 0.0000 0.0000 0.7954 1
Rh1 Rh 0.5000 0.5000 0.1089 1
Rh2 Rh 0.5000 0.5000 0.3038 1
Rh3 Rh 0.5000 0.5000 0.5000 1
Rh4 Rh 0.5000 0.5000 0.6962 1
Rh5 Rh 0.5000 0.5000 0.8911 1

# Y3Tc GGA-PBE relaxed
# DFT formation energy = 14 kJ/mol of formula units
# Fermi-level density of states = 1.220 states/eV per atom
# space group = Imm2, No. 44
data_Y3Tc
_cell_length_a 6.3037
_cell_length_b 6.3037
_cell_length_c 6.3037
_cell_angle_alpha 146.53
_cell_angle_beta 61.88
_cell_angle_gamma 129.58
_space_group_name_H-M_alt 'P 1'
_space_group_IT_number 1
loop_
_space_group_symop_operation_xyz
'x,y,z'
loop_
_atom_site_label
_atom_site_type_symbol
_atom_site_fract_x
_atom_site_fract_y
_atom_site_fract_z
_atom_site_occupancy
Y1 Y 0.0003 0.0003 0.0000 1
Y2 Y 0.3010 0.5000 0.8010 1
Y3 Y 0.6990 0.5000 0.1990 1
Tc1 Tc 0.5044 0.0044 0.5000 1

# CaSi2IrPt GGA-PBE relaxed
# Fermi-level density of states = 0.253 states/eV per atom
# space group = I-4m2, No. 119
# E_form (uncorrected) = -906 meV/atom
data_CaSi2IrPt
_cell_length_a 5.8769
_cell_length_b 5.8769
_cell_length_c 5.8769
_cell_angle_alpha 139.32
_cell_angle_beta 139.32
_cell_angle_gamma 58.88
_space_group_name_H-M_alt 'P 1'
_space_group_IT_number 1
loop_
_space_group_symop_operation_xyz
'x,y,z'
loop_
_atom_site_label
_atom_site_type_symbol
_atom_site_fract_x
_atom_site_fract_y
_atom_site_fract_z
_atom_site_occupancy
Ca1 Ca 0.0000 0.0000 0.0000 1
Si1 Si 0.3808 0.3808 0.0000 1
Si2 Si 0.6192 0.6192 0.0000 1
Ir1 Ir 0.2500 0.7500 0.5000 1
Pt1 Pt 0.7500 0.2500 0.5000 1

# Zr2CrRu GGA-PBE relaxed
# DFT formation energy = -87 kJ/mol of formula units
# Fermi-level density of states = 1.061 states/eV per atom
# space group = Pmmm, No. 47
data_Zr2CrRu
_cell_length_a 3.2444
_cell_length_b 4.6373
_cell_length_c 4.6591
_cell_angle_alpha 90.00
_cell_angle_beta 90.00
_cell_angle_gamma 90.00
_space_group_name_H-M_alt 'P 1'
_space_group_IT_number 1
loop_
_space_group_symop_operation_xyz
'x,y,z'
loop_
_atom_site_label
_atom_site_type_symbol
_atom_site_fract_x
_atom_site_fract_y
_atom_site_fract_z
_atom_site_occupancy
Zr1 Zr 0.0000 0.0000 0.0000 1
Zr2 Zr 0.0000 0.5000 0.5000 1
Cr1 Cr 0.5000 0.0000 0.5000 1
Ru1 Ru 0.5000 0.5000 0.0000 1

# AcDyYTm GGA-PBE relaxed
# DFT formation energy = 26 kJ/mol of formula units
# Fermi-level density of states = 1.364 states/eV per atom
# distance to the lowest polymorph of the same formula = 0.000 eV/atom
# space group = R3m, No. 160
data_AcDyYTm
_cell_length_a 11.9559
_cell_length_b 11.9559
_cell_length_c 11.9559
_cell_angle_alpha 17.71
_cell_angle_beta 17.71
_cell_angle_gamma 17.71
_space_group_name_H-M_alt 'P 1'
_space_group_IT_number 1
loop_
_space_group_symop_operation_xyz
'x,y,z'
loop_
_atom_site_label
_atom_site_type_symbol
_atom_site_fract_x
_atom_site_fract_y
_atom_site_fract_z
_atom_site_occupancy
Ac1 Ac 0.0000 0.0000 0.0000 1
Dy1 Dy 0.5788 0.5788 0.5788 1
Y1 Y 0.7543 0.7543 0.7543 1
Tm1 Tm 0.1665 0.1665 0.1665 1

# YMg2HgO GGA-PBE relaxed
# Fermi-level density of states = 0.514 states/eV per atom
# space group = P4/mmm, No. 123
# E_form (uncorrected) = -1172 meV/atom
data_YMg2HgO
_cell_length_a 4.4502
_cell_length_b 4.4502
_cell_length_c 4.6779
_cell_angle_alpha 90.00
_cell_angle_beta 90.00
_cell_angle_gamma 90.00
_space_group_name_H-M_alt 'P 1'
_space_group_IT_number 1
loop_
_space_group_symop_operation_xyz
'x,y,z'
loop_
_atom_site_label
_atom_site_type_symbol
_atom_site_fract_x
_atom_site_fract_y
_atom_site_fract_z
_atom_site_occupancy
Y1 Y 0.0000 0.0000 0.0000 1
Mg1 Mg 0.0000 0.5000 0.5000 1
Mg2 Mg 0.5000 0.0000 0.5000 1
Hg1 Hg 0.5000 0.5000 0.0000 1
O1 O 0.0000 0.0000 0.5000 1

# Ba2AgAu3 GGA-PBE relaxed
# DFT formation energy = -367 kJ/mol of formula units
# Fermi-level density of states = 0.399 states/eV per atom
# space group = Fmmm, No. 69
data_Ba2AgAu3
_cell_length_a 9.7816
_cell_length_b 9.4929
_cell_length_c 6.5016
_cell_angle_alpha 72.70
_cell_angle_beta 67.91
_cell_angle_gamma 39.39
_space_group_name_H-M_alt 'P 1'
_space_group_IT_number 1
loop_
_space_group_symop_operation_xyz
'x,y,z'
loop_
_atom_site_label
_atom_site_type_symbol
_atom_site_fract_x
_atom_site_fract_y
_atom_site_fract_z
_atom_site_occupancy
Ba1 Ba 0.2475 0.7525 0.7525 1
Ba2 Ba 0.2500 0.2500 0.2500 1
Ba3 Ba 0.7500 0.7500 0.7500 1
Ba4 Ba 0.7525 0.2475 0.2475 1
Ag1 Ag 0.3334 0.3334 0.6666 1
Ag2 Ag 0.6666 0.6666 0.3334 1
Au1 Au 0.1677 0.1677 0.8323 1
Au2 Au 0.1685 0.6635 0.3365 1
Au3 Au 0.3365 0.8315 0.1685 1
Au4 Au 0.6635 0.1685 0.8315 1
Au5 Au 0.8315 0.3365 0.6635 1
Au6 Au 0.8323 0.8323 0.1677 1

# TiZnCu GGA-PBE relaxed
# DFT formation energy = -43 kJ/mol of formula units
# Fermi-level density of states = 0.387 states/eV per atom
# space group = P3m1, No. 156
data_TiZnCu
_cell_length_a 4.3129
_cell_length_b 4.3129
_cell_length_c 2.6399
_cell_angle_alpha 90.00
_cell_angle_beta 90.00
_cell_angle_gamma 120.00
_space_group_name_H-M_alt 'P 1'
_space_group_IT_number 1
loop_
_space_group_symop_operation_xyz
'x,y,z'
loop_
_atom_site_label
_atom_site_type_symbol
_atom_site_fract_x
_atom_site_fract_y
_atom_site_fract_z
_atom_site_occupancy
Ti1 Ti 0.0000 0.0000 0.0000 1
Zn1 Zn 0.3333 0.6667 0.5008 1
Cu1 Cu 0.6667 0.3333 0.4988 1